No. 1
First-principles (PBEsol) data for a relaxed Ca2CdPb2 crystal, as listed in Alexandria.

Cell and atoms, written as extended XYZ:
```
10
Lattice="4.769 0.000 0.000 0.000 7.780 0.000 0.000 0.000 7.780" Properties=species:S:1:pos:R:3 pbc="T T T"
Pb 0.000 2.802 6.691
Pb 0.000 6.691 4.978
Pb 0.000 4.978 1.088
Pb 0.000 1.088 2.802
Ca 2.385 1.291 5.181
Ca 2.385 5.181 6.488
Ca 2.385 6.488 2.599
Ca 2.385 2.599 1.291
Cd 0.000 0.000 0.000
Cd 0.000 3.890 3.890
```

Properties
Total magnetization: 0.00 Bohr magnetons per cell
Space-group type: No. 127
E_form: -415 meV per atom
Raw total energy: -31.1 eV/cell

No. 2
First-principles (PBEsol) data for a relaxed CaCd3Pb crystal, as listed in Alexandria.

Cell and atoms, written as extended XYZ:
```
5
Lattice="5.571 0.000 0.000 0.000 5.571 0.000 0.000 0.000 5.571" Properties=species:S:1:pos:R:3 pbc="T T T"
Pb 0.000 0.000 0.000
Ca 2.786 2.786 2.786
Cd 0.000 2.786 0.000
Cd 0.000 0.000 2.786
Cd 2.786 0.000 0.000
```

Properties
Total magnetization: 0.00 Bohr magnetons per cell
Space-group type: No. 221
E_form: 341 meV per atom
Raw total energy: -8.0 eV/cell

No. 3
First-principles (PBEsol) data for a relaxed CaCd4Pb crystal, as listed in Alexandria.

Cell and atoms, written as extended XYZ:
```
6
Lattice="-3.487 4.533 1.445 -3.751 2.219 -3.974 -5.805 -0.831 0.638" Properties=species:S:1:pos:R:3 pbc="T T T"
Pb -9.782 4.441 -1.418
Ca 0.000 0.000 0.000
Cd -4.887 2.219 -0.708
Cd -7.797 1.802 -0.389
Cd -6.635 4.490 0.016
Cd -6.767 3.331 -2.700
```

Properties
Total magnetization: 0.00 Bohr magnetons per cell
Space-group type: No. 216
E_form: -180 meV per atom
Raw total energy: -12.0 eV/cell

No. 4
First-principles (PBEsol) data for a relaxed CaCdPb2 crystal, as listed in Alexandria.

Cell and atoms, written as extended XYZ:
```
4
Lattice="3.964 0.000 0.000 0.000 3.964 0.000 0.000 0.000 6.958" Properties=species:S:1:pos:R:3 pbc="T T T"
Ca 1.982 1.982 0.000
Cd 1.982 1.982 3.479
Pb 0.000 0.000 5.059
Pb 0.000 0.000 1.898
```

Properties
Total magnetization: 0.00 Bohr magnetons per cell
Space-group type: No. 123
E_form: -221 meV per atom
Raw total energy: -12.2 eV/cell

No. 5
First-principles (PBEsol) data for a relaxed CaCdPb2 crystal, as listed in Alexandria.

Cell and atoms, written as extended XYZ:
```
4
Lattice="3.635 0.000 0.000 1.818 3.148 0.000 1.818 1.049 10.065" Properties=species:S:1:pos:R:3 pbc="T T T"
Ca 3.635 2.099 4.916
Cd 1.818 1.049 2.505
Pb 5.453 3.148 0.117
Pb 5.453 3.148 7.559
```

Properties
Total magnetization: 0.00 Bohr magnetons per cell
Space-group type: No. 160
E_form: -99 meV per atom
Raw total energy: -11.7 eV/cell

No. 6
First-principles (PBEsol) data for a relaxed CaCdPb2 crystal, as listed in Alexandria.

Cell and atoms, written as extended XYZ:
```
4
Lattice="-2.091 1.727 -3.857 -0.676 -4.385 -1.597 -2.924 1.168 4.991" Properties=species:S:1:pos:R:3 pbc="T T T"
Pb -3.199 0.783 -0.797
Pb -2.492 -2.273 0.333
Ca -1.383 -1.329 -2.727
Cd 0.000 0.000 0.000
```

Properties
Total magnetization: 0.00 Bohr magnetons per cell
Space-group type: No. 139
E_form: -269 meV per atom
Raw total energy: -12.4 eV/cell